Entry 1:
Entry from the Alexandria database: a relaxed Cs2Hg3Au2 crystal (PBE).

Lattice parameters (Å, degrees): 12.905 4.805 8.668 90.00 117.22 90.00
Space group C2/m (No. 12)
Symmetry-distinct sites (fractional):
Cs  0.137  0.000  0.271
Hg  0.000  0.500  0.500
Hg  0.136  0.500  0.927
Au  0.141  0.000  0.715

Output
Energy of formation   -0.244 eV/atom



Entry 2:
Entry from the Alexandria database: a relaxed K2GaSb crystal (PBE).

Lattice parameters (Å, degrees): 8.191 8.191 8.191 90.00 90.00 90.00
Space group Fm-3m (No. 225)
Symmetry-distinct sites (fractional):
K  0.250  0.250  0.250
Ga  0.000  0.000  0.000
Sb  0.000  0.000  0.500

Output
Excess energy over the best structure of this formula in the dataset   85 meV/atom
Raw formation energy   -104 meV/atom



Taking the records one at a time from the top gives Fermi-level density of states values of 1.25, 0.00 states/eV/f.u..